Here is an optimized crystal structure of BaTb4Tl5 from the Alexandria database. Energies are from GGA-PBE.

Computed properties:
- Volume: 29.626 Å³/atom
- Formation enthalpy at 0 K: -0.36 eV per atom
- VASP energy: -0.2634 Ry/atom

Unit cell a=3.8758 b=3.8758 c=19.7223 alpha=90.00 beta=90.00 gamma=90.00
Last column: nearest neighbours and their distance in Å.
Space group P4/mmm (No. 123)
One atom of each set of equivalent atoms:
Ba: 0.0000 0.0000 0.0000  8 Tl 3.69, 4 Ba 3.88
Tb: 0.0000 0.0000 0.2162  8 Tl 3.28-3.33
Tb: 0.0000 0.0000 0.4058  8 Tl 3.30-3.31
Tl: 0.5000 0.5000 0.1250  4 Tb 3.28
Tl: 0.5000 0.5000 0.3121  8 Tb 3.30-3.33, 1 Tl 3.69
Tl: 0.5000 0.5000 0.5000  8 Tb 3.31, 2 Tl 3.71